[1]
Here is a geometry-optimized CaZr2Mo structure from the Alexandria database. Energies are from GGA-PBE.

Unit cell a=3.1114 b=3.1114 c=10.2555 alpha=90.00 beta=90.00 gamma=112.18
Last column: nearest neighbours and their distance in Å.
Sites, in units of the cell vectors:
Ca  0.0000  0.0000  0.0000  2 Mo 3.05, 4 Ca 3.11
Zr  0.0000  0.0000  0.5578  2 Mo 2.67
Zr  0.5000  0.5000  0.3019  8 Zr 3.11-3.47
Mo  0.5000  0.5000  0.7554  2 Zr 2.67

Results
The density of states at the Fermi level is 1.479 states/eV per atom. Its crystal system is orthorhombic. The spin magnetization comes out at 0.0 Bohr magnetons per cell. For the formation energy, the calculation gives 0.383 eV/atom. The calculation puts the volume at 22.98 Å³ per atom. The value obtained for the relative energy among the computed polymorphs is 0.2579 eV/atom. As for the final energy: -7.099 eV/atom.

=====

[2]
Here is a geometry-optimized CaZr2Mo structure from the Alexandria database. Energies are from GGA-PBE.

Unit cell a=3.3863 b=3.3863 c=8.7606 alpha=90.00 beta=90.00 gamma=90.00
Last column: nearest neighbours and their distance in Å.
Sites, in units of the cell vectors:
Ca  0.0000  0.0000  0.0000  4 Ca 3.39, 8 Zr 3.71
Zr  0.5000  0.5000  0.3241  4 Mo 2.85, 1 Zr 3.08
Zr  0.5000  0.5000  0.6759  4 Mo 2.85, 1 Zr 3.08
Mo  0.0000  0.0000  0.5000  8 Zr 2.85

Results
The density of states at the Fermi level is 1.081 states/eV per atom. Its crystal system is tetragonal. The spin magnetization comes out at 0.0 Bohr magnetons per cell. For the formation energy, the calculation gives 0.125 eV/atom. The calculation puts the volume at 25.12 Å³ per atom. The value obtained for the relative energy among the computed polymorphs is 0.0000 eV/atom. As for the final energy: -7.357 eV/atom.

=====

[3]
Here is a geometry-optimized CaZrMo3 structure from the Alexandria database. Energies are from GGA-PBE.

Unit cell a=4.9215 b=4.9215 c=4.9215 alpha=90.00 beta=90.00 gamma=90.00
Last column: nearest neighbours and their distance in Å.
Sites, in units of the cell vectors:
Ca  0.0000  0.0000  0.0000  12 Mo 3.48
Zr  0.5000  0.5000  0.5000  6 Mo 2.46
Mo  0.0000  0.5000  0.5000  2 Zr 2.46
Mo  0.5000  0.0000  0.5000  2 Zr 2.46
Mo  0.5000  0.5000  0.0000  2 Zr 2.46

Results
The density of states at the Fermi level is 1.362 states/eV per atom. Its crystal system is cubic. The spin magnetization comes out at 0.0 Bohr magnetons per cell. For the formation energy, the calculation gives 1.621 eV/atom. The calculation puts the volume at 23.84 Å³ per atom. The value obtained for the relative energy among the computed polymorphs is 0.0000 eV/atom. As for the final energy: -6.988 eV/atom.

=====

[4]
Here is a geometry-optimized CaZr2Mo structure from the Alexandria database. Energies are from GGA-PBE.

Unit cell a=10.1982 b=10.1982 c=10.1982 alpha=18.90 beta=18.90 gamma=18.90
Last column: nearest neighbours and their distance in Å.
Sites, in units of the cell vectors:
Ca  0.0000  0.0000  0.0000  6 Ca 3.35, 6 Zr 3.58
Zr  0.2329  0.2329  0.2329  3 Mo 2.77
Zr  0.7671  0.7671  0.7671  3 Mo 2.77
Mo  0.5000  0.5000  0.5000  6 Zr 2.77

Results
The density of states at the Fermi level is 1.131 states/eV per atom. Its crystal system is trigonal. The spin magnetization comes out at 0.0 Bohr magnetons per cell. For the formation energy, the calculation gives 0.285 eV/atom. The calculation puts the volume at 24.32 Å³ per atom. The value obtained for the relative energy among the computed polymorphs is 0.1599 eV/atom. As for the final energy: -7.197 eV/atom.

=====

[5]
Here is a geometry-optimized CaZrMo2 structure from the Alexandria database. Energies are from GGA-PBE.

Unit cell a=4.0848 b=4.0848 c=4.7583 alpha=90.00 beta=90.00 gamma=90.00
Last column: nearest neighbours and their distance in Å.
Sites, in units of the cell vectors:
Ca  0.0000  0.0000  0.0000  4 Zr 2.89, 8 Mo 3.14
Zr  0.5000  0.5000  0.0000  4 Ca 2.89, 8 Mo 3.14
Mo  0.0000  0.5000  0.5000  4 Mo 2.89, 4 Zr 3.14, 4 Ca 3.14
Mo  0.5000  0.0000  0.5000  4 Mo 2.89, 4 Zr 3.14, 4 Ca 3.14

Results
The density of states at the Fermi level is 1.451 states/eV per atom. Its crystal system is tetragonal. The spin magnetization comes out at 0.0 Bohr magnetons per cell. For the formation energy, the calculation gives 0.739 eV/atom. The calculation puts the volume at 19.85 Å³ per atom. The value obtained for the relative energy among the computed polymorphs is 0.4607 eV/atom. As for the final energy: -7.314 eV/atom.

=====

[6]
Here is a geometry-optimized CaZr2Mo structure from the Alexandria database. Energies are from GGA-PBE.

Unit cell a=6.0592 b=6.0592 c=2.9585 alpha=102.83 beta=102.83 gamma=116.53
Last column: nearest neighbours and their distance in Å.
Sites, in units of the cell vectors:
Ca  0.0000  0.0000  0.0000  2 Ca 2.96, 4 Zr 3.06, 4 Mo 3.19-3.31
Zr  0.0000  0.5000  0.5000  6 Zr 2.96-3.31, 2 Mo 3.06, 2 Ca 3.06
Zr  0.5000  0.0000  0.5000  6 Zr 2.96-3.31, 2 Mo 3.06, 2 Ca 3.06
Mo  0.5000  0.5000  0.0000  2 Mo 2.96, 4 Zr 3.06, 4 Ca 3.19-3.31

Results
The density of states at the Fermi level is 1.360 states/eV per atom. Its crystal system is monoclinic. The spin magnetization comes out at 0.0 Bohr magnetons per cell. For the formation energy, the calculation gives 0.507 eV/atom. The calculation puts the volume at 22.02 Å³ per atom. The value obtained for the relative energy among the computed polymorphs is 0.3820 eV/atom. As for the final energy: -6.975 eV/atom.

=====

Question: The highest volume belongs to which entry?
Answer: number 2

=====

Question: What is the formula in the first record?
Answer: CaZr2Mo

=====

Question: Which formula does entry 2 have?
Answer: CaZr2Mo

=====

Please write out number 5 again, unchanged.
Here is a geometry-optimized CaZrMo2 structure from the Alexandria database. Energies are from GGA-PBE.

Unit cell a=4.0848 b=4.0848 c=4.7583 alpha=90.00 beta=90.00 gamma=90.00
Last column: nearest neighbours and their distance in Å.
Sites, in units of the cell vectors:
Ca  0.0000  0.0000  0.0000  4 Zr 2.89, 8 Mo 3.14
Zr  0.5000  0.5000  0.0000  4 Ca 2.89, 8 Mo 3.14
Mo  0.0000  0.5000  0.5000  4 Mo 2.89, 4 Zr 3.14, 4 Ca 3.14
Mo  0.5000  0.0000  0.5000  4 Mo 2.89, 4 Zr 3.14, 4 Ca 3.14

Results
The density of states at the Fermi level is 1.451 states/eV per atom. Its crystal system is tetragonal. The spin magnetization comes out at 0.0 Bohr magnetons per cell. For the formation energy, the calculation gives 0.739 eV/atom. The calculation puts the volume at 19.85 Å³ per atom. The value obtained for the relative energy among the computed polymorphs is 0.4607 eV/atom. As for the final energy: -7.314 eV/atom.